[1]
VASP calculation (PBE) on an optimized crystal structure of Cs2FeCuOs.

Results
The formation energy is 1402.4 meV per atom. The value obtained for the spin magnetization is 3.04 μB per formula unit. The value obtained for the density is 4643 kg/m³.

a = 6.8590 Å, b = 6.8590 Å, c = 4.3740 Å
α = 90.00°, β = 90.00°, γ = 90.00°
Sites, in units of the cell vectors:
1 Cs 0.0000 0.5000 0.0000
2 Cs 0.5000 0.0000 0.0000
3 Fe 0.0000 0.0000 0.5000
4 Cu 0.5000 0.5000 0.5000
5 Os 0.0000 0.0000 0.0000

=====

[2]
VASP calculation (PBE) on an optimized crystal structure of Cs2FeCuS4.

Results
The value obtained for the spin magnetization is 0.93 μB per formula unit. The value obtained for the density is 3599 kg/m³. Its formation energy from raw total energies is -0.68 eV per atom.

a = 14.0293 Å, b = 12.5452 Å, c = 7.4359 Å
α = 85.13°, β = 63.00°, γ = 31.88°
Sites, in units of the cell vectors:
1 Cs 0.0521 0.0521 0.6979
2 Cs 0.3021 0.3021 0.9479
3 Cs 0.6979 0.6979 0.0521
4 Cs 0.9479 0.9479 0.3021
5 Fe 0.3750 0.3750 0.3750
6 Fe 0.6250 0.6250 0.6250
7 Cu 0.1250 0.1250 0.1250
8 Cu 0.8750 0.8750 0.8750
9 S 0.0125 0.6400 0.5643
10 S 0.2831 0.5643 0.6400
11 S 0.3600 0.9875 0.7169
12 S 0.4357 0.7169 0.9875
13 S 0.5643 0.2831 0.0125
14 S 0.6400 0.0125 0.2831
15 S 0.7169 0.4357 0.3600
16 S 0.9875 0.3600 0.4357

=====

[3]
VASP calculation (PBE) on an optimized crystal structure of CsFe2CuS4.

Results
The value obtained for the spin magnetization is 1.98 μB per formula unit. The value obtained for the density is 3262 kg/m³. Its formation energy from raw total energies is -0.12 eV per atom.

a = 7.0838 Å, b = 7.0838 Å, c = 7.0838 Å
α = 136.94°, β = 106.79°, γ = 88.88°
Sites, in units of the cell vectors:
1 Cs 0.0000 0.0000 0.0000
2 Fe 0.4013 0.9013 0.5000
3 Fe 0.5987 0.0987 0.5000
4 Cu 0.5000 0.5000 0.0000
5 S 0.1906 0.1245 0.6471
6 S 0.4774 0.5435 0.3529
7 S 0.5226 0.8755 0.0660
8 S 0.8094 0.4565 0.9340

=====

[4]
VASP calculation (PBE) on an optimized crystal structure of Cs2FeCuSe4.

Results
The value obtained for the spin magnetization is 3.00 μB per formula unit. The value obtained for the density is 4463 kg/m³. Its formation energy from raw total energies is -0.64 eV per atom.

a = 14.3945 Å, b = 12.7147 Å, c = 7.8758 Å
α = 85.28°, β = 61.68°, γ = 33.04°
Sites, in units of the cell vectors:
1 Cs 0.0552 0.0552 0.6948
2 Cs 0.3052 0.3052 0.9448
3 Cs 0.6948 0.6948 0.0552
4 Cs 0.9448 0.9448 0.3052
5 Fe 0.3750 0.3750 0.3750
6 Fe 0.6250 0.6250 0.6250
7 Cu 0.1250 0.1250 0.1250
8 Cu 0.8750 0.8750 0.8750
9 Se 0.0037 0.3537 0.4271
10 Se 0.2845 0.5729 0.6463
11 Se 0.3537 0.0037 0.7155
12 Se 0.4271 0.7155 0.0037
13 Se 0.5729 0.2845 0.9963
14 Se 0.6463 0.9963 0.2845
15 Se 0.7155 0.4271 0.3537
16 Se 0.9963 0.6463 0.5729

=====

[5]
VASP calculation (PBE) on an optimized crystal structure of CsGa3Cu.

Results
The formation energy is 46.3 meV per atom. The value obtained for the spin magnetization is 0.00 μB per formula unit. The value obtained for the density is 5827 kg/m³.

a = 7.2963 Å, b = 7.2963 Å, c = 5.0726 Å
α = 90.00°, β = 90.00°, γ = 121.12°
Sites, in units of the cell vectors:
1 Cs 0.0911 0.9089 0.7500
2 Cs 0.9089 0.0911 0.2500
3 Ga 0.1614 0.4668 0.7500
4 Ga 0.2960 0.7040 0.2500
5 Ga 0.4668 0.1614 0.2500
6 Ga 0.5332 0.8386 0.7500
7 Ga 0.7040 0.2960 0.7500
8 Ga 0.8386 0.5332 0.2500
9 Cu 0.5000 0.5000 0.0000
10 Cu 0.5000 0.5000 0.5000

=====

[6]
VASP calculation (PBE) on an optimized crystal structure of CsGa2Cu2.

Results
The formation energy is 67.8 meV per atom. The value obtained for the spin magnetization is 0.00 μB per formula unit. The value obtained for the density is 4817 kg/m³.

a = 7.3250 Å, b = 7.3250 Å, c = 7.3250 Å
α = 143.58°, β = 143.58°, γ = 52.45°
Sites, in units of the cell vectors:
1 Cs 0.0000 0.0000 0.0000
2 Ga 0.3119 0.3119 0.0000
3 Ga 0.6881 0.6881 0.0000
4 Cu 0.2500 0.7500 0.5000
5 Cu 0.7500 0.2500 0.5000